Entry 1:
A geometry-optimized TaCuGe2Sb structure. Source: Alexandria via LeMat-Bulk, functional PBE-GGA.

The spin magnetization is 0.00 μB per cell. The volume is 24.0 Å³/atom. Its crystal system is tetragonal. Its total energy is -0.3704 Ry/atom.

It has space group P4/mmm (No. 123), with a = 4.9652 Å, b = 4.9652 Å, c = 4.8753 Å, α = 90.00°, β = 90.00° and γ = 90.00°. Symmetry generates all atoms from Ta at (0.0000, 0.0000, 0.0000), Cu at (0.0000, 0.0000, 0.5000), Ge at (0.0000, 0.5000, 0.0000) and Sb at (0.5000, 0.5000, 0.5000).

Entry 2:
A geometry-optimized CuGeSbTe2 structure. Source: Alexandria via LeMat-Bulk, functional PBE-GGA.

The spin magnetization is 0.00 μB per cell. The volume is 27.1 Å³/atom. Its crystal system is tetragonal. Its total energy is -0.2450 Ry/atom.

It has space group P4/mmm (No. 123), with a = 5.2377 Å, b = 5.2377 Å, c = 4.9385 Å, α = 90.00°, β = 90.00° and γ = 90.00°. Symmetry generates all atoms from Cu at (0.0000, 0.0000, 0.0000), Ge at (0.5000, 0.5000, 0.5000), Sb at (0.0000, 0.0000, 0.5000) and Te at (0.0000, 0.5000, 0.0000).

Entry 3:
A geometry-optimized CuGeSbTe2 structure. Source: Alexandria via LeMat-Bulk, functional PBE-GGA.

The spin magnetization is 0.00 μB per cell. The volume is 31.1 Å³/atom. Its crystal system is tetragonal. Its total energy is -0.2182 Ry/atom.

It has space group P4/mmm (No. 123), with a = 5.3945 Å, b = 5.3945 Å, c = 5.3409 Å, α = 90.00°, β = 90.00° and γ = 90.00°. Symmetry generates all atoms from Cu at (0.0000, 0.0000, 0.0000), Ge at (0.5000, 0.5000, 0.5000), Sb at (0.5000, 0.5000, 0.0000) and Te at (0.0000, 0.5000, 0.5000).